{
  "formula": "CaCdSe",
  "functional": "PBEsol",
  "state": "optimized geometry",
  "e_form_raw_ev_per_atom": -0.642,
  "crystal_system": "cubic",
  "n_ef_per_ev_cell": 2.96,
  "dft_energy_ev_per_cell": -9.11,
  "cell": [[-4.215, -0.435, -2.644], [-4.180, -1.607, 2.212], [-3.782, 3.165, 0.791]],
  "species": ["Se", "Cd", "Ca"],
  "fractional_positions": [[0.250, 0.250, 0.250], [0.500, 0.500, 0.500], [0.000, 0.000, 0.000]]
}